# Rb3Ce2CdSe6

An optimized crystal structure of Rb3Ce2CdSe6 (PBE, the Alexandria database).

- SG = C2/m (12)
- volume (Å³ per atom) = 32.19
- ΔE_f (raw) (eV/atom) = -1.40
- magnetization (μB per formula unit) = 1.02
- E_tot (eV per atom) = -4.445

Unit cell a=7.475 b=7.475 c=8.356 alpha=98.55 beta=98.55 gamma=119.98
Each line ends with the local moment (μB).
Sites, in units of the cell vectors:
Cd  0.000  0.000  0.000  0.00
Ce  0.667  0.333  0.000  0.56
Ce  0.333  0.667  0.000  0.56
Se  0.598  0.934  0.803  -0.02
Se  0.729  0.729  0.196  -0.02
Se  0.402  0.066  0.197  -0.02
Se  0.934  0.598  0.803  -0.02
Se  0.271  0.271  0.804  -0.02
Se  0.066  0.402  0.197  -0.02
Rb  0.836  0.164  0.500  0.00
Rb  0.164  0.836  0.500  0.00
Rb  0.500  0.500  0.500  0.00